Below is an optimized crystal structure of AlZnCl2, with properties calculated at the GGA-PBE level.

Unit cell a=3.609 b=3.609 c=10.223 alpha=90.00 beta=90.00 gamma=126.27
Each line ends with the local moment (μB).
Positions (direct):
Zn  0.500  0.500  0.250  0.00
Al  0.500  0.500  0.750  0.17
Cl  0.000  0.000  0.920  0.12
Cl  0.000  0.000  0.580  0.12

Values from the calculation:
DOS at the Fermi energy ... 0.390 states/eV/cell
Energy ... -2.50 eV/atom
Formation energy without anion corrections ... -0.321 eV per atom